1.
First-principles (PBE-GGA) data for ScTa2Ti2 after structural relaxation, as listed in Alexandria via LeMat-Bulk.

Calculated volume, Å³/atom: 19.0
Relative energy among the computed polymorphs, meV per atom: 0.0
Formation energy, meV per atom: 164

a = 7.4609 Å, b = 7.4609 Å, c = 3.4216 Å
α = 90.00°, β = 90.00°, γ = 90.00°
Closest atoms and distances in Å follow each position.
Positions (direct):
Ti 0.8702 0.6298 0.0000  1 Ti 2.74, 6 Ta 2.77-2.79, 2 Sc 2.93
Ti 0.6298 0.1298 0.0000  1 Ti 2.74, 6 Ta 2.77-2.79, 2 Sc 2.93
Ti 0.1298 0.3702 0.0000  1 Ti 2.74, 6 Ta 2.77-2.79, 2 Sc 2.93
Ti 0.3702 0.8702 0.0000  1 Ti 2.74, 6 Ta 2.77-2.79, 2 Sc 2.93
Ta 0.1631 0.6631 0.5000  6 Ti 2.77-2.79
Ta 0.6631 0.8369 0.5000  6 Ti 2.77-2.79
Ta 0.3369 0.1631 0.5000  6 Ti 2.77-2.79
Ta 0.8369 0.3369 0.5000  6 Ti 2.77-2.79
Sc 0.5000 0.5000 0.0000  4 Ti 2.93, 8 Ta 3.28
Sc 0.0000 0.0000 0.0000  4 Ti 2.93, 8 Ta 3.28

---

2.
First-principles (PBE-GGA) data for Sc2TaTi after structural relaxation, as listed in Alexandria via LeMat-Bulk.

Calculated volume, Å³/atom: 20.3
Relative energy among the computed polymorphs, meV per atom: 9.7
Formation energy, meV per atom: 190

a = 3.0413 Å, b = 3.0413 Å, c = 10.2859 Å
α = 81.50°, β = 81.50°, γ = 60.00°
Closest atoms and distances in Å follow each position.
Positions (direct):
Ta 0.5000 0.5000 0.5000  6 Ta 3.04, 6 Sc 3.08
Sc 0.7501 0.7501 0.7498  6 Sc 3.04, 3 Ta 3.08, 3 Ti 3.08
Sc 0.2499 0.2499 0.2502  6 Sc 3.04, 3 Ta 3.08, 3 Ti 3.08
Ti 0.0000 0.0000 0.0000  6 Ti 3.04, 6 Sc 3.08

---

3.
First-principles (PBE-GGA) data for ScTaTi after structural relaxation, as listed in Alexandria via LeMat-Bulk.

Calculated volume, Å³/atom: 21.3
Relative energy among the computed polymorphs, meV per atom: 2.2
Formation energy, meV per atom: 201

a = 3.2147 Å, b = 3.2147 Å, c = 12.5476 Å
α = 97.36°, β = 97.36°, γ = 90.00°
Closest atoms and distances in Å follow each position.
Positions (direct):
Ta 0.2836 0.2836 0.5672  4 Ta 2.81, 4 Ti 2.81
Ta 0.7164 0.7164 0.4328  4 Ta 2.81, 4 Ti 2.81
Ti 0.1492 0.1492 0.2984  4 Ta 2.81, 4 Sc 3.05
Ti 0.8508 0.8508 0.7016  4 Ta 2.81, 4 Sc 3.05
Sc 0.4333 0.4333 0.8666  4 Ti 3.05, 5 Sc 3.21-3.29
Sc 0.5667 0.5667 0.1334  4 Ti 3.05, 5 Sc 3.21-3.29

---

4.
First-principles (PBE-GGA) data for Sc3TaTi after structural relaxation, as listed in Alexandria via LeMat-Bulk.

Calculated volume, Å³/atom: 25.9
Relative energy among the computed polymorphs, meV per atom: 0.0
Formation energy, meV per atom: 982

a = 5.0603 Å, b = 5.0603 Å, c = 5.0603 Å
α = 90.00°, β = 90.00°, γ = 90.00°
Closest atoms and distances in Å follow each position.
Positions (direct):
Sc 0.0000 0.5000 0.0000  2 Ta 2.53
Sc 0.0000 0.0000 0.5000  2 Ta 2.53
Sc 0.5000 0.0000 0.0000  2 Ta 2.53
Ta 0.0000 0.0000 0.0000  6 Sc 2.53
Ti 0.5000 0.5000 0.5000  12 Sc 3.58

---

5.
First-principles (PBE-GGA) data for ScTaTiW2 after structural relaxation, as listed in Alexandria via LeMat-Bulk.

Calculated volume, Å³/atom: 20.0
Formation energy, meV per atom: 2065

a = 4.6167 Å, b = 4.6972 Å, c = 4.6167 Å
α = 90.00°, β = 90.00°, γ = 90.00°
Closest atoms and distances in Å follow each position.
Positions (direct):
Ti 0.5000 0.5000 0.5000  4 Ta 3.26, 8 W 3.29
Sc 0.0000 0.0000 0.0000  4 W 2.31, 2 Ta 2.35
W 0.5000 0.0000 0.0000  2 Sc 2.31
W 0.0000 0.0000 0.5000  2 Sc 2.31
Ta 0.0000 0.5000 0.0000  2 Sc 2.35

---

6.
First-principles (PBE-GGA) data for YScTaTi2 after structural relaxation, as listed in Alexandria via LeMat-Bulk.

Calculated volume, Å³/atom: 22.2
Formation energy, meV per atom: 1387

a = 4.6615 Å, b = 5.1056 Å, c = 4.6615 Å
α = 90.00°, β = 90.00°, γ = 90.00°
Closest atoms and distances in Å follow each position.
Positions (direct):
Sc 0.0000 0.0000 0.0000  4 Ti 2.33, 2 Y 2.55
Ti 0.0000 0.0000 0.5000  2 Sc 2.33
Ti 0.5000 0.0000 0.0000  2 Sc 2.33
Y 0.0000 0.5000 0.0000  2 Sc 2.55
Ta 0.5000 0.5000 0.5000  4 Y 3.30, 8 Ti 3.46

---

7.
First-principles (PBE-GGA) data for ScTaTl2 after structural relaxation, as listed in Alexandria via LeMat-Bulk.

Calculated volume, Å³/atom: 22.0
Formation energy, meV per atom: 316

a = 5.2824 Å, b = 3.1309 Å, c = 5.3151 Å
α = 87.80°, β = 90.00°, γ = 90.00°
Closest atoms and distances in Å follow each position.
Positions (direct):
Tl 0.0000 0.0729 0.9527  4 Sc 2.96-3.18, 2 Ta 3.03, 4 Tl 3.13-3.23
Tl 0.5000 0.1615 0.2969  4 Ta 2.92-3.15, 2 Sc 3.07, 4 Tl 3.13-3.23
Ta 0.5000 0.7018 0.7849  6 Tl 2.92-3.15, 2 Ta 3.13, 2 Sc 3.18
Sc 0.0000 0.5638 0.4656  6 Tl 2.96-3.18, 2 Sc 3.13, 2 Ta 3.18

---

8.
First-principles (PBE-GGA) data for ScTaTl2 after structural relaxation, as listed in Alexandria via LeMat-Bulk.

Calculated volume, Å³/atom: 21.7
Formation energy, meV per atom: 317

a = 3.7204 Å, b = 3.7204 Å, c = 6.2711 Å
α = 90.00°, β = 90.00°, γ = 90.00°
Closest atoms and distances in Å follow each position.
Positions (direct):
Tl 0.0000 0.0000 0.9935  4 Ta 3.04, 2 Tl 3.05-3.22, 4 Sc 3.08
Tl 0.0000 0.0000 0.5065  4 Ta 3.04, 2 Tl 3.05-3.22, 4 Sc 3.08
Sc 0.5000 0.5000 0.2500  8 Tl 3.08, 2 Ta 3.14
Ta 0.5000 0.5000 0.7500  8 Tl 3.04, 2 Sc 3.14

---

9.
First-principles (PBE-GGA) data for ScTa2Tl after structural relaxation, as listed in Alexandria via LeMat-Bulk.

Calculated volume, Å³/atom: 20.5
Relative energy among the computed polymorphs, meV per atom: 143.4
Formation energy, meV per atom: 227

a = 4.5368 Å, b = 3.0169 Å, c = 6.2388 Å
α = 73.41°, β = 90.00°, γ = 90.00°
Closest atoms and distances in Å follow each position.
Positions (direct):
Ta 0.5000 0.1720 0.2279  4 Ta 2.75-3.02, 1 Sc 2.94
Ta 0.0000 0.0321 0.0053  4 Ta 2.75-3.02, 2 Sc 2.89, 2 Tl 3.03-3.08
Sc 0.5000 0.8021 0.7704  3 Ta 2.89-2.94, 2 Sc 3.02, 4 Tl 3.14-3.22
Tl 0.0000 0.4937 0.4964  2 Tl 3.02, 6 Ta 3.03-3.19, 4 Sc 3.14-3.22

---

10.
First-principles (PBE-GGA) data for Sc4TaTl after structural relaxation, as listed in Alexandria via LeMat-Bulk.

Calculated volume, Å³/atom: 22.1
Formation energy, meV per atom: 403

a = 5.7201 Å, b = 5.7201 Å, c = 5.7201 Å
α = 60.00°, β = 60.00°, γ = 60.00°
Closest atoms and distances in Å follow each position.
Positions (direct):
Sc 0.6236 0.6236 0.6236  6 Sc 2.83-2.89
Sc 0.1292 0.6236 0.6236  6 Sc 2.83-2.89
Sc 0.6236 0.1292 0.6236  6 Sc 2.83-2.89
Sc 0.6236 0.6236 0.1292  6 Sc 2.83-2.89
Tl 0.0000 0.0000 0.0000  12 Sc 3.36, 4 Ta 3.50
Ta 0.2500 0.2500 0.2500  12 Sc 3.35, 4 Tl 3.50

---

11.
First-principles (PBE-GGA) data for Sc2TaTl after structural relaxation, as listed in Alexandria via LeMat-Bulk.

Calculated volume, Å³/atom: 21.6
Relative energy among the computed polymorphs, meV per atom: 198.6
Formation energy, meV per atom: 164

a = 5.3771 Å, b = 5.3771 Å, c = 5.4484 Å
α = 76.94°, β = 76.94°, γ = 34.37°
Closest atoms and distances in Å follow each position.
Positions (direct):
Sc 0.5035 0.5035 0.4941  3 Ta 3.02-3.19, 3 Tl 3.09-3.17, 6 Sc 3.11-3.20
Sc 0.9965 0.9965 0.0059  3 Ta 3.02-3.19, 3 Tl 3.09-3.17, 6 Sc 3.11-3.20
Tl 0.7500 0.7500 0.7500  6 Sc 3.09-3.17, 4 Ta 3.15, 2 Tl 3.18
Ta 0.2500 0.2500 0.2500  6 Sc 3.02-3.19, 4 Tl 3.15, 2 Ta 3.18

---

12.
First-principles (PBE-GGA) data for ScTa2Tl after structural relaxation, as listed in Alexandria via LeMat-Bulk.

Calculated volume, Å³/atom: 20.7
Relative energy among the computed polymorphs, meV per atom: 0.0
Formation energy, meV per atom: 83

a = 3.5120 Å, b = 3.5120 Å, c = 6.7091 Å
α = 90.00°, β = 90.00°, γ = 90.00°
Closest atoms and distances in Å follow each position.
Positions (direct):
Ta 0.0000 0.0000 0.0258  4 Ta 2.79, 4 Sc 3.04
Ta 0.5000 0.5000 0.2162  4 Ta 2.79, 1 Sc 3.04, 4 Tl 3.11
Tl 0.0000 0.0000 0.4943  4 Sc 3.07, 5 Ta 3.11-3.14
Sc 0.5000 0.5000 0.7636  5 Ta 3.04, 4 Tl 3.07

---

13.
First-principles (PBE-GGA) data for Sc2TaTl after structural relaxation, as listed in Alexandria via LeMat-Bulk.

Calculated volume, Å³/atom: 21.6
Relative energy among the computed polymorphs, meV per atom: 104.8
Formation energy, meV per atom: 70

a = 5.1782 Å, b = 3.0323 Å, c = 5.5078 Å
α = 89.95°, β = 90.00°, γ = 90.00°
Closest atoms and distances in Å follow each position.
Positions (direct):
Sc 0.5000 0.1260 0.2965  4 Sc 3.03-3.16, 4 Tl 3.06-3.23, 4 Ta 3.12-3.13
Sc 0.0000 0.1240 0.9688  4 Sc 3.03-3.16, 4 Ta 3.08-3.21, 4 Tl 3.17-3.18
Ta 0.0000 0.6247 0.4551  2 Ta 3.03, 8 Sc 3.08-3.21, 2 Tl 3.15
Tl 0.5000 0.6253 0.7796  2 Tl 3.03, 8 Sc 3.06-3.23, 2 Ta 3.15

---

14.
First-principles (PBE-GGA) data for ScTaTl2 after structural relaxation, as listed in Alexandria via LeMat-Bulk.

Calculated volume, Å³/atom: 21.6
Formation energy, meV per atom: 205

a = 3.1186 Å, b = 3.1186 Å, c = 8.8654 Å
α = 90.00°, β = 90.00°, γ = 90.03°
Closest atoms and distances in Å follow each position.
Positions (direct):
Sc 0.5000 0.5000 0.2500  4 Sc 3.12, 8 Tl 3.15
Tl 0.0000 0.0000 0.5036  4 Ta 3.10, 4 Tl 3.12, 4 Sc 3.15
Tl 0.0000 0.0000 0.9964  4 Ta 3.10, 4 Tl 3.12, 4 Sc 3.15
Ta 0.5000 0.5000 0.7500  8 Tl 3.10, 4 Ta 3.12

---

15.
First-principles (PBE-GGA) data for Sc2TaTl after structural relaxation, as listed in Alexandria via LeMat-Bulk.

Calculated volume, Å³/atom: 21.3
Relative energy among the computed polymorphs, meV per atom: 145.4
Formation energy, meV per atom: 110

a = 5.4700 Å, b = 5.4700 Å, c = 5.4700 Å
α = 133.29°, β = 133.29°, γ = 68.20°
Closest atoms and distances in Å follow each position.
Positions (direct):
Tl 0.7500 0.2500 0.5000  4 Ta 3.07, 8 Sc 3.14
Sc 0.5000 0.5000 0.0000  4 Sc 3.07, 4 Ta 3.14, 4 Tl 3.14
Sc 0.0000 0.0000 0.0000  4 Sc 3.07, 4 Tl 3.14, 4 Ta 3.14
Ta 0.2500 0.7500 0.5000  4 Tl 3.07, 8 Sc 3.14

---

Computed values of magnetization (unit: μB per cell) for the preceding records, in sequence: 0.000, 0.000, 2.005, 0.000, 0.013, 0.000, 0.001, 0.000, 0.000, 0.002, 0.000, 0.000, 0.000, 0.586, 0.000.